No. 1
VASP calculation (PBE-GGA) on a geometry-optimized ZrScAl structure.

```
3
Lattice="-2.439 -3.032 -2.593 -3.922 -1.901 1.695 -4.150 1.240 -1.762" Properties=species:S:1:pos:R:3 pbc="T T T"
Al 0.000 0.000 0.000
Zr -7.884 -2.770 -1.995
Sc -2.628 -0.923 -0.665
```

Offset from the most stable computed form (meV per atom): 0
Final energy (eV/atom): -6.1232
Crystal system: cubic

No. 2
VASP calculation (PBE-GGA) on a geometry-optimized Zr5Sc2Al structure.

```
8
Lattice="-1.142 4.860 -0.822 -5.797 -0.929 2.557 -0.896 0.852 6.283" Properties=species:S:1:pos:R:3 pbc="T T T"
Zr -5.164 -0.498 4.227
Sc -2.226 -0.026 2.940
Al -5.573 -0.064 7.361
Zr -2.671 0.408 6.122
Sc -5.076 2.378 5.539
Zr -2.067 2.860 4.213
Zr -4.612 1.936 2.279
Zr -1.666 2.417 1.036
```

Final energy (eV/atom): -7.4815
Crystal system: orthorhombic

No. 3
VASP calculation (PBE-GGA) on a geometry-optimized TmAlSnSe3 structure.

```
12
Lattice="-5.592 3.097 -4.224 2.959 -6.021 3.700 -5.167 3.028 9.062" Properties=species:S:1:pos:R:3 pbc="T T T"
Al -3.972 -0.491 7.664
Sn -6.984 2.720 4.873
Se -2.707 -1.207 5.306
Se -0.175 -2.692 0.864
Sn -0.816 -2.616 3.664
Tm 0.000 0.000 0.000
Se -9.207 5.091 2.814
Se -7.625 2.796 7.674
Tm -2.584 1.514 4.531
Al -3.828 0.595 0.874
Se -5.093 1.311 3.232
Se 1.407 -4.986 5.724
```

Final energy (eV/atom): -4.6864
Crystal system: orthorhombic

No. 4
VASP calculation (PBE-GGA) on a geometry-optimized Sr2AlTcSe6 structure.

```
10
Lattice="6.724 0.000 0.000 2.800 6.126 0.000 2.777 1.829 5.884" Properties=species:S:1:pos:R:3 pbc="T T T"
Tc 4.751 0.914 2.942
Se 3.398 1.774 0.964
Sr 7.832 2.910 4.414
Sr 4.469 5.044 1.470
Se 7.792 4.695 1.968
Se 8.904 6.181 4.920
Se 6.810 1.501 1.561
Al 1.400 3.063 0.000
Se 4.509 3.259 3.916
Se 5.491 6.453 4.323
```

Offset from the most stable computed form (meV per atom): 7
Final energy (eV/atom): -4.7396
Crystal system: triclinic

No. 5
VASP calculation (PBE-GGA) on a geometry-optimized Sr2AlTcSe6 structure.

```
10
Lattice="-3.530 3.530 4.994 3.530 -3.530 4.994 3.530 3.530 -4.994" Properties=species:S:1:pos:R:3 pbc="T T T"
Sr 0.000 3.530 2.497
Se -1.774 1.774 4.994
Se 1.774 1.774 4.994
Tc 0.000 0.000 4.994
Se 1.756 1.756 0.000
Sr 3.530 0.000 2.497
Al 0.000 0.000 0.000
Se 0.000 0.000 7.503
Se 0.000 0.000 2.484
Se 1.774 -1.774 4.994
```

Offset from the most stable computed form (meV per atom): 138
Final energy (eV/atom): -4.6085
Crystal system: cubic

No. 6
VASP calculation (PBE-GGA) on a geometry-optimized Sr2AlTcSe6 structure.

```
10
Lattice="6.627 2.837 -0.451 -1.309 6.312 3.257 -1.555 -6.492 2.756" Properties=species:S:1:pos:R:3 pbc="T T T"
Se -1.079 -0.720 4.391
Se 4.842 3.377 1.171
Se 2.546 3.903 3.810
Sr -0.102 2.197 3.708
Tc 2.659 4.575 1.403
Se 3.944 6.786 2.082
Se 1.217 -1.245 1.753
Sr 3.865 0.460 1.854
Se 1.374 2.363 0.725
Al 0.000 0.000 0.000
```

Offset from the most stable computed form (meV per atom): 0
Final energy (eV/atom): -4.7465
Crystal system: tetragonal

No. 7
VASP calculation (PBE-GGA) on a geometry-optimized SrTmAlSe3 structure.

```
12
Lattice="2.033 -7.409 0.000 2.033 7.409 0.000 0.000 0.000 10.079" Properties=species:S:1:pos:R:3 pbc="T T T"
Se 2.033 -1.563 7.559
Se 2.033 -5.430 5.604
Se 2.033 5.430 4.476
Tm 2.033 0.000 0.000
Sr 2.033 -3.412 2.520
Se 2.033 5.430 0.564
Se 2.033 1.563 2.520
Sr 2.033 3.412 7.559
Tm 2.033 0.000 5.040
Al 2.033 -7.114 7.559
Se 2.033 -5.430 9.515
Al 2.033 7.114 2.520
```

Final energy (eV/atom): -4.6163
Crystal system: orthorhombic

No. 8
VASP calculation (PBE-GGA) on a geometry-optimized Al2ZnTeSe3 structure.

```
7
Lattice="5.734 0.000 0.000 -0.122 5.758 0.000 -2.754 -2.767 5.615" Properties=species:S:1:pos:R:3 pbc="T T T"
Al 2.761 2.939 0.040
Se 4.162 4.324 1.483
Al -0.087 2.873 2.752
Zn -0.070 5.720 0.028
Se -1.446 1.446 4.180
Te 1.593 -1.221 4.070
Se 1.454 1.473 1.484
```

Final energy (eV/atom): -3.9240
Crystal system: triclinic

No. 9
VASP calculation (PBE-GGA) on a geometry-optimized Al2ZnTe3Se structure.

```
7
Lattice="-1.070 5.397 2.295 -3.642 1.115 -4.599 -2.136 -5.372 4.255" Properties=species:S:1:pos:R:3 pbc="T T T"
Te -4.772 4.236 -0.948
Al -2.346 3.164 -1.114
Zn -0.066 0.043 -0.014
Al -3.995 -0.426 -0.713
Te -3.855 -2.715 0.615
Se -2.350 1.120 0.229
Te -2.737 -0.386 3.946
```

Final energy (eV/atom): -3.6405
Crystal system: triclinic

No. 10
VASP calculation (PBE-GGA) on a geometry-optimized TmAlTlSe3 structure.

```
12
Lattice="2.085 -7.377 0.000 2.085 7.377 0.000 0.000 0.000 10.802" Properties=species:S:1:pos:R:3 pbc="T T T"
Tl 2.085 -3.728 8.102
Tl 2.085 3.728 2.701
Tm 0.000 0.000 5.401
Tm 0.000 0.000 0.000
Se 2.085 -6.489 2.701
Se 2.085 1.879 10.144
Al 2.085 -0.540 2.701
Se 2.085 1.879 6.060
Se 2.085 6.489 8.102
Se 2.085 -1.879 4.743
Se 2.085 -1.879 0.658
Al 2.085 0.540 8.102
```

Final energy (eV/atom): -4.4924
Crystal system: orthorhombic

No. 11
VASP calculation (PBE-GGA) on a geometry-optimized SmAlSi structure.

```
3
Lattice="3.338 -3.078 0.604 0.654 -1.891 4.121 -1.045 -4.406 0.690" Properties=species:S:1:pos:R:3 pbc="T T T"
Sm 2.210 -7.032 4.061
Si 0.737 -2.344 1.354
Al 0.000 0.000 0.000
```

Final energy (eV/atom): -4.6350
Crystal system: cubic

No. 12
VASP calculation (PBE-GGA) on a geometry-optimized SmAlSi structure.

```
9
Lattice="7.121 0.000 0.000 -3.560 6.167 0.000 0.000 0.000 4.200" Properties=species:S:1:pos:R:3 pbc="T T T"
Al 1.819 0.000 0.000
Sm 1.387 2.402 2.100
Si 0.000 0.000 2.100
Sm 4.348 0.000 2.100
Sm -2.174 3.765 2.100
Al -0.910 1.576 0.000
Si 0.000 4.111 0.000
Si 3.561 2.056 0.000
Al 2.651 4.591 0.000
```

Final energy (eV/atom): -5.1761
Crystal system: hexagonal